Here is Rb3TbCr2O8 after structural relaxation from Alexandria via LeMat-Bulk. Energies are from GGA+U. Values from VASP.

Properties
Calculated total energy, eV per atom: -6.387

Quantum ESPRESSO input file:
```
&SYSTEM
  ibrav = 0, nat = 14, ntyp = 4
/
ATOMIC_SPECIES
Rb 85.47 Rb.upf
Tb 158.93 Tb.upf
Cr 52.00 Cr.upf
O 16.00 O.upf
CELL_PARAMETERS angstrom
6.059 0.000 0.000
-3.030 5.248 0.000
0.000 0.000 7.986
ATOMIC_POSITIONS angstrom
Rb 0.000 0.000 0.000
Rb 0.000 3.498 5.586
Rb 3.030 1.749 2.400
Tb 0.000 0.000 3.993
Cr 0.000 3.498 2.047
Cr 3.030 1.749 5.939
O 0.000 1.856 2.668
O -1.422 4.319 2.668
O 0.000 3.498 0.379
O 1.608 0.928 5.318
O 1.422 4.319 2.668
O 3.030 1.749 7.607
O 4.452 0.928 5.318
O 3.030 3.391 5.318
```